1.
## LiLa2IrPt (PBE)

Data for crystalline LiLa2IrPt at its relaxed geometry.

Unit cell a=5.5139 b=4.4000 c=5.5139 alpha=90.00 beta=90.00 gamma=90.00
Last column: nearest neighbours and their distance in Å.
Sites, in units of the cell vectors:
Li (0.0000, 0.5000, 0.0000)  2 Pt 2.20
La (0.0000, 0.0000, 0.5000)  2 Pt 2.76
La (0.5000, 0.0000, 0.0000)  2 Pt 2.76
Pt (0.0000, 0.0000, 0.0000)  2 Li 2.20
Ir (0.5000, 0.5000, 0.5000)  8 La 3.53, 4 Li 3.90

Values from the calculation:
Space group: P4/mmm (123)
Formation enthalpy at 0 K (kJ/mol of atoms): -17.9
ΔE to the lowest computed polymorph (kJ per mole of atoms): 57.08



2.
## Mn2CoSi (PBE)

Data for crystalline Mn2CoSi at its relaxed geometry.

Unit cell a=3.9731 b=3.9731 c=6.3506 alpha=108.22 beta=108.22 gamma=90.03
Last column: nearest neighbours and their distance in Å.
Sites, in units of the cell vectors:
Si (0.3700, 0.3700, 0.2400)  4 Co 2.41, 4 Mn 2.48
Si (0.6300, 0.6300, 0.7600)  4 Co 2.41, 4 Mn 2.48
Co (0.7500, 0.2500, 0.0000)  4 Si 2.41, 4 Mn 2.45
Co (0.2500, 0.7500, 0.0000)  4 Si 2.41, 4 Mn 2.45
Mn (0.1239, 0.1239, 0.7477)  4 Mn 2.44, 4 Co 2.45
Mn (0.5000, 0.0000, 0.5000)  4 Mn 2.44, 4 Si 2.48
Mn (0.0000, 0.5000, 0.5000)  4 Mn 2.44, 4 Si 2.48
Mn (0.8761, 0.8761, 0.2523)  4 Mn 2.44, 4 Co 2.45

Values from the calculation:
Space group: I4/mmm (139)
Formation energy (no corrections) (eV/atom): -0.34



3.
## CeHoZnAg (PBE)

Data for crystalline CeHoZnAg at its relaxed geometry.

Unit cell a=5.1566 b=5.1566 c=5.1566 alpha=60.00 beta=60.00 gamma=60.00
Last column: nearest neighbours and their distance in Å.
Sites, in units of the cell vectors:
Ho (0.0000, 0.0000, 0.0000)  4 Ag 3.16, 4 Zn 3.16
Ce (0.5000, 0.5000, 0.5000)  4 Zn 3.16, 4 Ag 3.16
Ag (0.2500, 0.2500, 0.2500)  4 Ce 3.16, 4 Ho 3.16
Zn (0.7500, 0.7500, 0.7500)  4 Ce 3.16, 4 Ho 3.16

Values from the calculation:
Space group: F-43m (216)
Formation enthalpy at 0 K (kJ/mol of atoms): -18.7
ΔE to the lowest computed polymorph (kJ per mole of atoms): 2.89



4.
## TaIn3N (PBE)

Data for crystalline TaIn3N at its relaxed geometry.

Unit cell a=5.4927 b=5.4927 c=5.4927 alpha=90.00 beta=90.00 gamma=90.00
Last column: nearest neighbours and their distance in Å.
Sites, in units of the cell vectors:
Ta (0.0000, 0.0000, 0.0000)  6 In 2.75
N (0.5000, 0.5000, 0.5000)  12 In 3.88
In (0.0000, 0.5000, 0.0000)  2 Ta 2.75
In (0.0000, 0.0000, 0.5000)  2 Ta 2.75
In (0.5000, 0.0000, 0.0000)  2 Ta 2.75

Values from the calculation:
Space group: Pm-3m (221)
ΔE to the lowest computed polymorph (kJ per mole of atoms): 71.75
Formation energy (no corrections) (eV/atom): 1.67



5.
## NaHoSc (PBE)

Data for crystalline NaHoSc at its relaxed geometry.

Unit cell a=3.4014 b=3.4014 c=8.9482 alpha=90.00 beta=90.00 gamma=120.00
Last column: nearest neighbours and their distance in Å.
Sites, in units of the cell vectors:
Na (0.0000, 0.0000, 0.0060)  6 Na 3.40, 3 Sc 3.67, 3 Ho 3.80
Ho (0.3333, 0.6667, 0.6422)  3 Sc 3.26, 6 Ho 3.40
Sc (0.6667, 0.3333, 0.3518)  3 Ho 3.26, 6 Sc 3.40

Values from the calculation:
Space group: P3m1 (156)
Formation enthalpy at 0 K (kJ/mol of atoms): 18.1
ΔE to the lowest computed polymorph (kJ per mole of atoms): 0.00



6.
## DySi2O6 (PBE)

Data for crystalline DySi2O6 at its relaxed geometry.

Unit cell a=5.4540 b=7.1531 c=7.1531 alpha=86.11 beta=77.41 gamma=77.41
Last column: nearest neighbours and their distance in Å.
Sites, in units of the cell vectors:
O (0.3547, 0.0710, 0.1823)  1 Si 1.63
O (0.0309, 0.6508, 0.6465)  2 Si 1.65-1.66
O (0.5309, 0.6465, 0.6508)  2 Si 1.65-1.66
O (0.2700, 0.4269, 0.8849)  1 Si 1.62
O (0.7700, 0.8849, 0.4269)  1 Si 1.62
O (0.4691, 0.3535, 0.3492)  2 Si 1.65-1.66
O (0.6453, 0.9290, 0.8177)  1 Si 1.63
O (0.2300, 0.1151, 0.5731)  1 Si 1.62
O (0.8547, 0.1823, 0.0710)  1 Si 1.63
O (0.1453, 0.8177, 0.9290)  1 Si 1.63
O (0.7300, 0.5731, 0.1151)  1 Si 1.62
O (0.9691, 0.3492, 0.3535)  2 Si 1.65-1.66
Si (0.7445, 0.7829, 0.6380)  4 O 1.62-1.66
Si (0.2445, 0.6380, 0.7829)  4 O 1.62-1.66
Si (0.7555, 0.3620, 0.2171)  4 O 1.62-1.66
Si (0.2555, 0.2171, 0.3620)  4 O 1.62-1.66
Dy (0.7500, 0.8806, 0.1194)  6 O 2.23-2.33
Dy (0.2500, 0.1194, 0.8806)  6 O 2.23-2.33

Values from the calculation:
Space group: C2/c (15)
Formation energy (no corrections) (eV/atom): -2.73



7.
## Nd4DyTm2 (PBE)

Data for crystalline Nd4DyTm2 at its relaxed geometry.

Unit cell a=6.8777 b=9.0079 c=9.0079 alpha=78.63 beta=67.56 gamma=67.56
Last column: nearest neighbours and their distance in Å.
Sites, in units of the cell vectors:
Nd (0.8506, 0.1531, 0.1458)  1 Tm 3.31, 2 Dy 3.51, 3 Nd 3.62-3.68
Nd (0.7890, 0.2403, 0.7403)  1 Nd 3.03, 1 Dy 3.15, 1 Tm 3.17
Nd (0.2110, 0.7597, 0.2597)  1 Nd 3.03, 1 Dy 3.15, 1 Tm 3.17
Nd (0.7697, 0.7597, 0.2597)  1 Nd 3.03, 1 Dy 3.15, 1 Tm 3.17
Nd (0.2303, 0.2403, 0.7403)  1 Nd 3.03, 1 Dy 3.15, 1 Tm 3.17
Nd (0.1494, 0.8469, 0.8542)  1 Tm 3.31, 2 Dy 3.51, 3 Nd 3.62-3.68
Nd (0.1494, 0.3542, 0.3469)  1 Tm 3.31, 2 Dy 3.51, 3 Nd 3.62-3.68
Nd (0.8506, 0.6458, 0.6531)  1 Tm 3.31, 2 Dy 3.51, 3 Nd 3.62-3.68
Tm (0.7176, 0.0324, 0.5324)  4 Nd 3.17-3.31, 2 Tm 3.53
Tm (0.5000, 0.5000, 0.5000)  4 Nd 3.44
Tm (0.2824, 0.9676, 0.4676)  4 Nd 3.17-3.31, 2 Tm 3.53
Tm (0.5000, 0.0000, 0.0000)  4 Nd 3.44
Dy (0.5000, 0.5000, 0.0000)  6 Nd 3.15-3.51, 2 Dy 3.44
Dy (0.0000, 0.5000, 0.0000)  6 Nd 3.15-3.51, 2 Dy 3.44

Values from the calculation:
Space group: Imma (74)
Formation enthalpy at 0 K (kJ/mol of atoms): 24.9
ΔE to the lowest computed polymorph (kJ per mole of atoms): 19.11



8.
## CePrTlHg (PBE)

Data for crystalline CePrTlHg at its relaxed geometry.

Unit cell a=3.6168 b=3.6168 c=8.7993 alpha=90.00 beta=90.00 gamma=90.00
Last column: nearest neighbours and their distance in Å.
Sites, in units of the cell vectors:
Hg (0.0000, 0.0000, 0.3597)  4 Ce 3.32, 4 Pr 3.36, 4 Hg 3.62
Tl (0.0000, 0.0000, 0.8552)  4 Ce 3.40, 4 Pr 3.42, 4 Tl 3.62
Pr (0.5000, 0.5000, 0.1126)  4 Hg 3.36, 4 Tl 3.42, 4 Pr 3.62
Ce (0.5000, 0.5000, 0.6005)  4 Hg 3.32, 4 Tl 3.40, 4 Ce 3.62

Values from the calculation:
Space group: P4mm (99)
Formation enthalpy at 0 K (kJ/mol of atoms): -32.8
ΔE to the lowest computed polymorph (kJ per mole of atoms): 0.00